Compound: ZrTlPb2
Source: Alexandria via LeMat-Bulk
Functional: PBE
Structure: relaxed

Lattice parameters (Å, degrees): 12.2935 3.3815 5.6698 90.00 115.43 90.00
With the nearest neighbours (Å) after each atom.
Space group Cm (No. 8)
Unique sites:
Zr (0.0000, 0.0000, 0.0000) x2  7 Pb 3.21-3.46, 3 Tl 3.26-3.60, 2 Zr 3.38
Tl (0.2358, 0.5000, 0.3873) x2  3 Zr 3.26-3.60, 7 Pb 3.31-3.39, 2 Tl 3.38
Pb (0.2621, 0.0000, 0.9134) x2  3 Zr 3.23-3.46, 4 Tl 3.31-3.32, 5 Pb 3.37-3.53
Pb (0.4943, 0.0000, 0.5133) x2  4 Zr 3.21-3.39, 3 Tl 3.34-3.39, 5 Pb 3.37-3.53

Results
mass density: 11.08 g/cm3
DOS at the Fermi energy: 0.6409 states/eV/atom
polymorph energy (0 for the lowest one): 75 meV per atom
crystal system: monoclinic
formation energy: 0.053 eV/atom

=====

Compound: ZrTlPb2
Source: Alexandria via LeMat-Bulk
Functional: PBE
Structure: relaxed

Lattice parameters (Å, degrees): 7.6523 7.6523 7.6523 90.00 90.00 90.00
With the nearest neighbours (Å) after each atom.
Space group Fm-3m (No. 225)
Unique sites:
Zr (0.0000, 0.0000, 0.0000) x4  8 Pb 3.31
Tl (0.0000, 0.0000, 0.5000) x4  8 Pb 3.31
Pb (0.2500, 0.2500, 0.2500) x8  4 Zr 3.31, 4 Tl 3.31

Results
mass density: 10.52 g/cm3
DOS at the Fermi energy: 0.7622 states/eV/atom
polymorph energy (0 for the lowest one): 317 meV per atom
crystal system: cubic
formation energy: 0.295 eV/atom

=====

Compound: Zr3TlPb
Source: Alexandria via LeMat-Bulk
Functional: PBE
Structure: relaxed

Lattice parameters (Å, degrees): 10.8577 5.7184 16.3319 90.00 106.63 90.00
With the nearest neighbours (Å) after each atom.
Space group C2/c (No. 15)
Unique sites:
Zr (0.0125, 0.1765, 0.0674) x8  5 Zr 2.94-3.23, 2 Pb 3.02-3.11, 2 Tl 3.06-3.20
Zr (0.2343, 0.1608, 0.7920) x8  3 Tl 3.11-3.30, 3 Pb 3.16-3.39, 5 Zr 3.17-3.24
Zr (0.2408, 0.1936, 0.5954) x8  2 Pb 2.99-3.27, 1 Tl 3.01, 6 Zr 3.19-3.24
Tl (0.0044, 0.3375, 0.6436) x8  6 Zr 3.01-3.30, 2 Pb 3.11-3.21
Pb (0.0000, 0.1913, 0.2500) x4  8 Zr 3.02-3.27, 2 Tl 3.21
Pb (0.2500, 0.2500, 0.0000) x4  4 Zr 2.99-3.11, 2 Tl 3.11

Results
mass density: 9.37 g/cm3
DOS at the Fermi energy: 1.0018 states/eV/atom
polymorph energy (0 for the lowest one): 0 meV per atom
crystal system: monoclinic
formation energy: 0.060 eV/atom